1.
Density functional theory data (PBE) for a geometry-optimized ScHgIr structure.

Geometry as extended XYZ:
```
3
Lattice="4.586 0.000 0.000 -2.293 3.972 0.000 0.000 0.000 3.057" Properties=species:S:1:pos:R:3 pbc="T T T"
Ir 0.000 2.648 1.064
Sc 2.293 1.324 1.894
Hg 0.000 0.000 0.099
```

DFT formation energy in eV/atom: -0.2822
Fermi-level density of states in states/eV per cell: 1.518
SG: P3m1, No. 156
Relative energy among the computed polymorphs in kJ per mole of atoms: 16.8

***

2.
Density functional theory data (PBE) for a geometry-optimized ReRuAu2 structure.

Geometry as extended XYZ:
```
4
Lattice="4.517 0.000 0.000 2.259 3.912 0.000 2.259 1.304 3.688" Properties=species:S:1:pos:R:3 pbc="T T T"
Ru 6.776 3.912 2.766
Au 0.000 0.000 0.000
Au 2.259 1.304 0.922
Re 4.517 2.608 1.844
```

DFT formation energy in eV/atom: 0.6992
Fermi-level density of states in states/eV per cell: 5.279
SG: F-43m, No. 216
Relative energy among the computed polymorphs in kJ per mole of atoms: 52.1

***

3.
Density functional theory data (PBE) for a geometry-optimized HfTh3Sn5 structure.

Geometry as extended XYZ:
```
18
Lattice="6.294 0.000 0.000 0.000 8.220 -4.746 0.000 0.000 9.491" Properties=species:S:1:pos:R:3 pbc="T T T"
Th 1.573 5.070 -2.927
Hf 0.000 0.000 0.000
Sn 4.720 2.193 1.266
Sn 0.000 2.740 4.746
Sn 1.573 2.193 -1.266
Hf 3.147 0.000 0.000
Th 4.720 5.070 2.927
Sn 0.000 5.480 0.000
Th 1.573 3.149 1.818
Sn 3.147 5.480 0.000
Th 4.720 0.000 3.636
Sn 3.147 2.740 4.746
Sn 1.573 0.000 2.532
Sn 4.720 6.027 -3.480
Th 4.720 3.149 -1.818
Sn 1.573 6.027 3.480
Th 1.573 0.000 5.855
Sn 4.720 0.000 6.959
```

DFT formation energy in eV/atom: -0.5666
Fermi-level density of states in states/eV per cell: 13.899
SG: P6_3/mcm, No. 193

***

4.
Density functional theory data (PBE) for a geometry-optimized BaIr2Os structure.

Geometry as extended XYZ:
```
4
Lattice="5.130 0.000 0.000 0.000 5.130 0.000 0.000 0.000 2.906" Properties=species:S:1:pos:R:3 pbc="T T T"
Ba 0.000 2.565 1.453
Ir 0.000 0.000 0.000
Ir 2.565 2.565 0.000
Os 2.565 0.000 1.453
```

DFT formation energy in eV/atom: 1.0726
Fermi-level density of states in states/eV per cell: 5.433
SG: P4/mmm, No. 123
Relative energy among the computed polymorphs in kJ per mole of atoms: 92.0

***

5.
Density functional theory data (PBE) for a geometry-optimized TiReNiHg2 structure.

Geometry as extended XYZ:
```
5
Lattice="-3.082 3.138 -2.771 2.204 -0.964 -3.544 -3.220 -3.976 -0.921" Properties=species:S:1:pos:R:3 pbc="T T T"
Ni 1.102 -0.482 -1.772
Hg -1.610 -1.988 -0.460
Hg -1.541 1.569 -1.385
Ti 0.000 0.000 0.000
Re -2.049 -0.901 -3.618
```

DFT formation energy in eV/atom: 1.7079
Fermi-level density of states in states/eV per cell: 4.112
SG: P4/mmm, No. 123

***

6.
Density functional theory data (PBE) for a geometry-optimized MnFe2Se structure.

Geometry as extended XYZ:
```
4
Lattice="4.012 0.000 0.000 0.000 3.678 0.000 0.000 0.000 3.678" Properties=species:S:1:pos:R:3 pbc="T T T"
Mn 2.006 1.839 0.000
Fe 0.000 1.839 1.839
Fe 0.000 0.000 0.000
Se 2.006 0.000 1.839
```

Raw formation energy in meV/atom: 185
Fermi-level density of states in states/eV per cell: 1.985
SG: P4/mmm, No. 123

***

7.
Density functional theory data (PBE) for a geometry-optimized ScAlW2 structure.

Geometry as extended XYZ:
```
8
Lattice="7.457 0.000 0.000 0.000 7.457 0.000 3.728 3.728 2.642" Properties=species:S:1:pos:R:3 pbc="T T T"
W 9.321 9.076 1.981
W 2.109 5.593 0.660
W 5.593 5.837 1.981
Al 3.728 3.728 0.000
Al 3.728 7.457 1.321
Sc 7.457 3.728 1.321
Sc 0.000 0.000 0.000
W 5.348 1.864 0.660
```

DFT formation energy in eV/atom: 0.7486
Fermi-level density of states in states/eV per cell: 3.910
SG: I-42d, No. 122

***

8.
Density functional theory data (PBE) for a geometry-optimized Ho2Si4PdPt3 structure.

Geometry as extended XYZ:
```
10
Lattice="4.186 0.000 0.000 0.000 4.186 0.000 0.000 0.000 9.865" Properties=species:S:1:pos:R:3 pbc="T T T"
Si 0.000 2.093 3.615
Ho 2.093 0.000 2.445
Si 2.093 0.000 6.250
Pd 2.093 2.093 4.932
Pt 2.093 0.000 8.635
Si 0.000 0.000 0.000
Si 2.093 2.093 0.000
Pt 0.000 2.093 1.230
Pt 0.000 0.000 4.932
Ho 0.000 2.093 7.420
```

Raw formation energy in meV/atom: -1061
Fermi-level density of states in states/eV per cell: 5.735
SG: P-4m2, No. 115

***

9.
Density functional theory data (PBE) for a geometry-optimized NaGeSe3 structure.

Geometry as extended XYZ:
```
10
Lattice="6.552 0.000 0.000 3.276 5.674 0.000 3.276 1.891 7.134" Properties=species:S:1:pos:R:3 pbc="T T T"
Se 5.082 5.071 5.394
Se 8.403 3.154 1.740
Se 6.171 1.865 5.394
Se 5.082 2.494 1.740
Na 9.828 5.674 2.698
Se 6.171 5.700 1.740
Se 8.403 4.412 5.394
Ge 9.828 5.674 7.126
Na 3.276 1.891 4.437
Ge 3.276 1.891 0.009
```

Raw formation energy in meV/atom: -191
Fermi-level density of states in states/eV per cell: 6.483
SG: R32, No. 155
Relative energy among the computed polymorphs in kJ per mole of atoms: 24.5

***

10.
Density functional theory data (PBE) for a geometry-optimized MgCd5Pd structure.

Geometry as extended XYZ:
```
7
Lattice="-2.581 0.162 -3.947 3.173 -2.724 -2.187 -3.407 -5.573 1.999" Properties=species:S:1:pos:R:3 pbc="T T T"
Cd -2.253 -1.493 -1.409
Cd 0.624 -2.936 -0.529
Mg 0.000 0.000 0.000
Cd -0.858 -5.361 0.341
Cd 0.296 -1.281 -3.067
Pd -1.704 -2.787 1.000
Cd -3.736 -3.918 -0.539
```

DFT formation energy in eV/atom: -0.1562
Fermi-level density of states in states/eV per cell: 4.174
SG: P4/mmm, No. 123

***

11.
Density functional theory data (PBE) for a geometry-optimized MnSn structure.

Geometry as extended XYZ:
```
12
Lattice="7.502 0.000 0.000 0.000 7.502 0.000 0.000 0.000 7.502" Properties=species:S:1:pos:R:3 pbc="T T T"
Mn 0.000 3.751 5.626
Sn 3.751 0.000 1.875
Mn 1.875 0.000 3.751
Sn 5.626 3.751 0.000
Sn 1.875 3.751 0.000
Sn 0.000 5.626 3.751
Mn 5.626 0.000 3.751
Sn 0.000 1.875 3.751
Mn 3.751 1.875 0.000
Sn 3.751 0.000 5.626
Mn 3.751 5.626 0.000
Mn 0.000 3.751 1.875
```

DFT formation energy in eV/atom: 0.8591
Fermi-level density of states in states/eV per cell: 10.289
SG: Pm-3n, No. 223

***

12.
Density functional theory data (PBE) for a geometry-optimized Hg2MoW structure.

Geometry as extended XYZ:
```
8
Lattice="7.578 0.000 0.000 0.000 7.578 0.000 3.789 3.789 2.779" Properties=species:S:1:pos:R:3 pbc="T T T"
W 0.000 0.000 0.000
Hg 5.697 1.894 0.695
W 7.578 3.789 1.390
Hg 1.880 5.683 0.695
Mo 3.789 3.789 0.000
Mo 3.789 7.578 1.390
Hg 9.472 9.486 2.084
Hg 5.683 5.669 2.084
```

DFT formation energy in eV/atom: 1.3472
Fermi-level density of states in states/eV per cell: 7.177
SG: I-42d, No. 122
Relative energy among the computed polymorphs in kJ per mole of atoms: 87.1